Density functional theory data (GGA-PBE) for an optimized crystal structure of FeHPd2Pt.

a b c (Å): 3.900 3.900 4.052
angles (deg): 90.00 90.00 90.00
Fractional coordinates of all 5 atoms:
Fe 0.000 0.000 0.000
H 0.000 0.000 0.500
Pd 0.000 0.500 0.500
Pd 0.500 0.000 0.500
Pt 0.500 0.500 0.000

## Properties
Total moment (μB/cell): 3.96
Electronic total energy (eV per atom): -5.7032
Distance to the lowest polymorph of the same formula (kJ/mol of formula units): 7

Density functional theory data (GGA-PBE) for an optimized crystal structure of PmErZnRh.

a b c (Å): 4.399 5.682 5.682
angles (deg): 40.10 90.00 90.00
Fractional coordinates of all 4 atoms:
Pm 0.000 0.000 0.000
Er 0.500 0.719 0.719
Zn 0.500 0.427 0.427
Rh 0.000 0.280 0.280

## Properties
Total moment (μB/cell): 0.00
Electronic total energy (eV per atom): -5.0570
Distance to the lowest polymorph of the same formula (kJ/mol of formula units): 0

Density functional theory data (GGA-PBE) for an optimized crystal structure of Ca2SiHg.

a b c (Å): 9.260 9.260 9.260
angles (deg): 23.62 23.62 23.62
Fractional coordinates of all 4 atoms:
Ca 0.243 0.243 0.243
Ca 0.757 0.757 0.757
Si 0.500 0.500 0.500
Hg 0.000 0.000 0.000

## Properties
Total moment (μB/cell): 0.00
Electronic total energy (eV per atom): -2.6288
Uncorrected formation energy (eV/atom): -0.1968

Density functional theory data (GGA-PBE) for an optimized crystal structure of BeCuCl2.

a b c (Å): 3.313 3.443 6.653
angles (deg): 90.00 90.00 90.00
Fractional coordinates of all 4 atoms:
Be 0.000 0.000 0.000
Cu 0.500 0.000 0.500
Cl 0.000 0.500 0.500
Cl 0.500 0.500 0.000

## Properties
Total moment (μB/cell): 0.01
Electronic total energy (eV per atom): -2.7543
Distance to the lowest polymorph of the same formula (kJ/mol of formula units): 226
Uncorrected formation energy (eV/atom): 0.1247

Look up the total moment of the third one. 0.00 μB/cell

The highest total moment belongs to which entry? FeHPd2Pt

Among the records above, which one has the highest electronic total energy? Ca2SiHg